No. 1
Crystalline Be2RuAu at its relaxed geometry, computed with PBE.

Computed properties:
**Calculated density**: 10.4 g/cm³
**Formation energy**: 71 meV/atom
**DFT total energy**: -4.930 eV/atom

Lattice parameters (Å, degrees): 3.2262 3.2262 5.9217 74.19 74.19 60.00
Last column: nearest neighbours and their distance in Å.
Element x y z (fractional)
Be: 0.0782 0.0782 0.7653  3 Ru 2.25, 3 Au 2.35
Be: 0.2543 0.2543 0.2371  3 Ru 2.33, 3 Au 2.41
Ru: 0.6705 0.6705 0.9885  6 Be 2.25-2.33
Au: 0.4970 0.4970 0.5091  6 Be 2.35-2.41

=====

No. 2
Crystalline Be2RuAu at its relaxed geometry, computed with PBE.

Computed properties:
**Calculated density**: 10.1 g/cm³
**Formation energy**: 289 meV/atom
**DFT total energy**: -4.712 eV/atom

Lattice parameters (Å, degrees): 4.1917 4.1917 4.1917 60.00 60.00 60.00
Last column: nearest neighbours and their distance in Å.
Element x y z (fractional)
Ru: 0.7500 0.7500 0.7500  4 Au 2.57, 4 Be 2.57
Au: 0.5000 0.5000 0.5000  4 Ru 2.57, 4 Be 2.57
Be: 0.0000 0.0000 0.0000  4 Ru 2.57, 4 Be 2.57
Be: 0.2500 0.2500 0.2500  4 Be 2.57, 4 Au 2.57

=====

No. 3
Crystalline Be2RuAu at its relaxed geometry, computed with PBE.

Computed properties:
**Calculated density**: 11.2 g/cm³
**Formation energy**: -269 meV/atom
**DFT total energy**: -5.270 eV/atom

Lattice parameters (Å, degrees): 3.9497 3.9497 3.0062 90.00 90.00 90.01
Last column: nearest neighbours and their distance in Å.
Element x y z (fractional)
Ru: 0.5000 0.0000 0.5000  8 Be 2.48
Au: 0.0000 0.5000 0.5000  8 Be 2.48
Be: 0.0000 0.0000 0.0000  4 Ru 2.48, 4 Au 2.48
Be: 0.5000 0.5000 0.0000  4 Au 2.48, 4 Ru 2.48

=====

Excess energy over the best structure of this formula in the dataset, respectively: 1.360; 2.232; 0.000 eV per formula unit.